DFT (PBE-GGA) results for an optimized crystal structure of SrLiTbGa.

a = 7.5751 Å, b = 7.5751 Å, c = 7.5751 Å
α = 90.00°, β = 90.00°, γ = 90.00°
Closest atoms and distances in Å follow each position.
Space group F-43m (No. 216)
Asymmetric unit:
Sr: 0.0000 0.0000 0.0000 (multiplicity 4)  4 Li 3.28, 4 Ga 3.28
Li: 0.2500 0.2500 0.2500 (multiplicity 4)  4 Tb 3.28, 4 Sr 3.28
Tb: 0.0000 0.0000 0.5000 (multiplicity 4)  4 Ga 3.28, 4 Li 3.28
Ga: 0.2500 0.2500 0.7500 (multiplicity 4)  4 Tb 3.28, 4 Sr 3.28

Values from the calculation:
energy of formation = -172 meV per atom
calculated density = 4.94 g cm⁻³
DOS(E_F) = 3.6 states/eV/f.u.
calculated total energy = -2.985 eV per atom
V = 27.2 Å³/atom